1.
Material: Ho2CdNi9
Method: DFT, PBE
State: relaxed

POSCAR file:
```
Ho2CdNi9
1.0
-1.200 -3.343 -3.418
-0.144 -4.785 1.176
-8.188 -1.983 1.259
Ho Ni Cd
2 9 1
Cartesian
-4.500 -7.832 -1.423
-5.032 -2.279 0.441
-9.076 -7.403 -0.237
-6.951 -6.232 -0.358
-2.654 -6.282 -0.033
-2.581 -3.879 -0.624
-6.878 -3.829 -0.949
-4.766 -5.056 -0.491
-3.184 -5.558 -2.340
-6.348 -4.553 1.358
-0.456 -2.709 -0.745
0.000 0.000 0.000
```

Computed properties:
Calculated formation energy ... -0.25 eV/atom


2.
Material: Na2Tb2TeO6
Method: DFT, PBE
State: relaxed

POSCAR file:
```
Na2Tb2TeO6
1.0
5.948 -0.021 0.121
-2.958 5.161 0.121
-1.008 -1.733 5.580
O Tb Te Na
6 2 1 2
Cartesian
0.452 0.777 1.725
0.551 4.369 1.866
1.431 -0.962 3.956
3.526 2.639 1.866
1.530 2.630 4.097
-1.544 0.768 3.956
-0.473 2.555 2.911
2.455 0.852 2.911
-0.504 -0.867 2.790
4.531 0.804 0.121
-1.541 4.336 0.121
```

Computed properties:
Energy ... -69.560 eV per cell


3.
Material: YCdCl2
Method: DFT, PBE
State: relaxed

POSCAR file:
```
YCdCl2
1.0
6.095 -0.003 0.000
3.200 5.187 0.000
-4.648 -2.592 2.971
Cl Cd Y
2 1 1
Cartesian
0.000 0.000 0.000
1.600 2.594 1.486
3.048 -0.001 1.486
4.648 2.592 0.000
```

Computed properties:
Offset from the most stable computed form ... 426.0 meV per atom


Spin magnetization in μB per formula unit, matching the order above: 2.27, 0.00, 0.00